A relaxed Ho2HgC crystal, computed with GGA-PBE.

crystal system	trigonal
final energy	-5.070	eV per atom
DFT formation energy	-0.3995	eV/atom

a = 3.6098 Å, b = 3.6098 Å, c = 23.1968 Å
α = 90.00°, β = 90.00°, γ = 120.00°
With the nearest neighbours (Å) after each atom.
Sites, in units of the cell vectors:
Ho  0.0000  0.0000  0.2243  3 C 2.48
Ho  0.0000  0.0000  0.7757  3 C 2.48
Ho  0.3333  0.6667  0.4423  3 C 2.48
Ho  0.3333  0.6667  0.8910  3 C 2.48
Ho  0.6667  0.3333  0.1090  3 C 2.48
Ho  0.6667  0.3333  0.5577  3 C 2.48
Hg  0.0000  0.0000  0.0000  6 Ho 3.28, 6 Hg 3.61
Hg  0.3333  0.6667  0.6667  6 Ho 3.28, 6 Hg 3.61
Hg  0.6667  0.3333  0.3333  6 Ho 3.28, 6 Hg 3.61
C  0.0000  0.0000  0.5000  6 Ho 2.48
C  0.3333  0.6667  0.1667  6 Ho 2.48
C  0.6667  0.3333  0.8333  6 Ho 2.48

***

A relaxed Ho6Hg3C crystal, computed with GGA-PBE.

crystal system	monoclinic
final energy	-4.050	eV per atom
DFT formation energy	-0.2908	eV/atom

a = 6.6826 Å, b = 6.6826 Å, c = 6.6894 Å
α = 102.88°, β = 102.88°, γ = 64.81°
With the nearest neighbours (Å) after each atom.
Sites, in units of the cell vectors:
Ho  0.1308  0.6672  0.6558  1 C 2.40
Ho  0.1705  0.1705  0.8368  1 C 2.55
Ho  0.3328  0.8692  0.3442  1 C 2.40
Ho  0.6672  0.1308  0.6558  1 C 2.40
Ho  0.8295  0.8295  0.1632  1 C 2.55
Ho  0.8692  0.3328  0.3442  1 C 2.40
Hg  0.3361  0.3361  0.2917  1 Hg 3.02, 5 Ho 3.04-3.23
Hg  0.5000  0.5000  0.0000  4 Ho 2.98, 2 Hg 3.02
Hg  0.6639  0.6639  0.7083  1 Hg 3.02, 5 Ho 3.04-3.23
C  0.0000  0.0000  0.5000  6 Ho 2.40-2.55

***

A relaxed Ho6Hg2C crystal, computed with GGA-PBE.

crystal system	tetragonal
final energy	-4.205	eV per atom
DFT formation energy	-0.0612	eV/atom

a = 6.7845 Å, b = 6.7845 Å, c = 11.4971 Å
α = 90.00°, β = 90.00°, γ = 90.00°
With the nearest neighbours (Å) after each atom.
Sites, in units of the cell vectors:
Ho  0.1904  0.1904  0.1486  1 C 2.50
Ho  0.1904  0.1904  0.8514  1 C 2.50
Ho  0.2474  0.7526  0.0000  1 C 2.37
Ho  0.2526  0.2526  0.5000  1 C 2.37
Ho  0.3096  0.6904  0.3514  1 C 2.50
Ho  0.3096  0.6904  0.6486  1 C 2.50
Ho  0.6904  0.3096  0.3514  1 C 2.50
Ho  0.6904  0.3096  0.6486  1 C 2.50
Ho  0.7474  0.7474  0.5000  1 C 2.37
Ho  0.7526  0.2474  0.0000  1 C 2.37
Ho  0.8096  0.8096  0.1486  1 C 2.50
Ho  0.8096  0.8096  0.8514  1 C 2.50
Hg  0.0000  0.0000  0.3533  6 Ho 2.95-2.98
Hg  0.0000  0.0000  0.6467  6 Ho 2.95-2.98
Hg  0.5000  0.5000  0.1467  6 Ho 2.95-2.98
Hg  0.5000  0.5000  0.8533  6 Ho 2.95-2.98
C  0.0000  0.0000  0.0000  6 Ho 2.37-2.50
C  0.5000  0.5000  0.5000  6 Ho 2.37-2.50

***

A relaxed Ho7Hg2C2 crystal, computed with GGA-PBE.

crystal system	monoclinic
final energy	-4.633	eV per atom
DFT formation energy	0.0118	eV/atom

a = 6.7510 Å, b = 6.7510 Å, c = 7.8131 Å
α = 94.06°, β = 94.06°, γ = 111.18°
With the nearest neighbours (Å) after each atom.
Sites, in units of the cell vectors:
Ho  0.0000  0.0000  0.0000  2 C 2.44
Ho  0.0602  0.4410  0.7838  1 C 2.30
Ho  0.4132  0.4132  0.1874  2 C 2.35-2.45
Ho  0.4410  0.0602  0.7838  1 C 2.30
Ho  0.5590  0.9398  0.2162  1 C 2.30
Ho  0.5868  0.5868  0.8126  2 C 2.35-2.45
Ho  0.9398  0.5590  0.2162  1 C 2.30
Hg  0.3183  0.6817  0.5000  6 Ho 3.09-3.18
Hg  0.6817  0.3183  0.5000  6 Ho 3.09-3.18
C  0.2884  0.2884  0.8962  5 Ho 2.30-2.45
C  0.7116  0.7116  0.1038  5 Ho 2.30-2.45

***

A relaxed HoHgC crystal, computed with GGA-PBE.

crystal system	tetragonal
final energy	-4.366	eV per atom
DFT formation energy	0.3353	eV/atom

a = 3.4857 Å, b = 3.4857 Å, c = 21.9441 Å
α = 90.00°, β = 90.00°, γ = 90.00°
With the nearest neighbours (Å) after each atom.
Sites, in units of the cell vectors:
Ho  0.0000  0.0000  0.1056  4 C 2.46
Ho  0.0000  0.0000  0.8944  4 C 2.46
Ho  0.5000  0.5000  0.3944  4 C 2.46
Ho  0.5000  0.5000  0.6056  4 C 2.46
Hg  0.0000  0.0000  0.2902  1 C 2.29
Hg  0.0000  0.0000  0.7098  1 C 2.29
Hg  0.5000  0.5000  0.2098  1 C 2.29
Hg  0.5000  0.5000  0.7902  1 C 2.29
C  0.0000  0.0000  0.3945  1 Hg 2.29, 4 Ho 2.46
C  0.0000  0.0000  0.6055  1 Hg 2.29, 4 Ho 2.46
C  0.5000  0.5000  0.1055  1 Hg 2.29, 4 Ho 2.46
C  0.5000  0.5000  0.8945  1 Hg 2.29, 4 Ho 2.46

***

A relaxed Ho6Hg2C crystal, computed with GGA-PBE.

crystal system	monoclinic
final energy	-4.518	eV per atom
DFT formation energy	-0.3744	eV/atom

a = 6.8874 Å, b = 6.8853 Å, c = 11.8973 Å
α = 90.00°, β = 125.32°, γ = 90.00°
With the nearest neighbours (Å) after each atom.
Sites, in units of the cell vectors:
Ho  0.1625  0.0021  0.2437  1 C 2.43
Ho  0.1625  0.4979  0.7437  1 C 2.43
Ho  0.2814  0.7505  0.0423  1 C 2.41
Ho  0.2814  0.7495  0.5423  1 C 2.41
Ho  0.2906  0.2410  0.0426  1 C 2.42
Ho  0.2906  0.2590  0.5426  1 C 2.42
Ho  0.7094  0.7410  0.4574  1 C 2.42
Ho  0.7094  0.7590  0.9574  1 C 2.42
Ho  0.7186  0.2505  0.4577  1 C 2.41
Ho  0.7186  0.2495  0.9577  1 C 2.41
Ho  0.8375  0.5021  0.2563  1 C 2.43
Ho  0.8375  0.9979  0.7563  1 C 2.43
Hg  0.2589  0.0053  0.7489  5 Ho 2.95-3.15
Hg  0.2589  0.4947  0.2489  5 Ho 2.95-3.15
Hg  0.7411  0.5053  0.7511  5 Ho 2.95-3.15
Hg  0.7411  0.9947  0.2511  5 Ho 2.95-3.15
C  0.0000  0.0000  0.0000  6 Ho 2.41-2.43
C  0.0000  0.5000  0.5000  6 Ho 2.41-2.43

***

A relaxed Ho5Hg2C crystal, computed with GGA-PBE.

crystal system	orthorhombic
final energy	-4.131	eV per atom
DFT formation energy	-0.0416	eV/atom

a = 8.3096 Å, b = 8.3096 Å, c = 12.2023 Å
α = 90.00°, β = 90.00°, γ = 145.72°
With the nearest neighbours (Å) after each atom.
Sites, in units of the cell vectors:
Ho  0.0870  0.9130  0.6065  1 C 2.36
Ho  0.0870  0.9130  0.8935  1 C 2.36
Ho  0.2982  0.7018  0.2500  2 C 2.46
Ho  0.2983  0.7017  0.5919  1 C 2.62
Ho  0.2983  0.7017  0.9081  1 C 2.62
Ho  0.7017  0.2983  0.0919  1 C 2.62
Ho  0.7017  0.2983  0.4081  1 C 2.62
Ho  0.7018  0.2982  0.7500  2 C 2.46
Ho  0.9130  0.0870  0.1065  1 C 2.36
Ho  0.9130  0.0870  0.3935  1 C 2.36
Hg  0.1012  0.8988  0.1361  1 Hg 2.78, 4 Ho 2.97-3.01
Hg  0.1012  0.8988  0.3639  1 Hg 2.78, 4 Ho 2.97-3.01
Hg  0.8988  0.1012  0.6361  1 Hg 2.78, 4 Ho 2.97-3.01
Hg  0.8988  0.1012  0.8639  1 Hg 2.78, 4 Ho 2.97-3.01
C  0.1870  0.8130  0.7500  6 Ho 2.36-2.62
C  0.8130  0.1870  0.2500  6 Ho 2.36-2.62

***

A relaxed Ho4HgC crystal, computed with GGA-PBE.

crystal system	monoclinic
final energy	-4.847	eV per atom
DFT formation energy	-0.2074	eV/atom

a = 8.0872 Å, b = 8.0872 Å, c = 6.1586 Å
α = 104.88°, β = 104.88°, γ = 117.73°
With the nearest neighbours (Å) after each atom.
Sites, in units of the cell vectors:
Ho  0.0639  0.6630  0.8568  1 C 2.39
Ho  0.1641  0.2623  0.6873  2 C 2.40-2.60
Ho  0.2623  0.1641  0.1873  2 C 2.40-2.60
Ho  0.3370  0.9361  0.6432  1 C 2.39
Ho  0.6630  0.0639  0.3568  1 C 2.39
Ho  0.7377  0.8359  0.8127  2 C 2.40-2.60
Ho  0.8359  0.7377  0.3127  2 C 2.40-2.60
Ho  0.9361  0.3370  0.1432  1 C 2.39
Hg  0.3838  0.6162  0.2500  8 Ho 3.01-3.30
Hg  0.6162  0.3838  0.7500  8 Ho 3.01-3.30
C  0.0703  0.9297  0.7500  6 Ho 2.39-2.60
C  0.9297  0.0703  0.2500  6 Ho 2.39-2.60

***

A relaxed Ho4HgC2 crystal, computed with GGA-PBE.

crystal system	trigonal
final energy	-5.643	eV per atom
DFT formation energy	-0.3482	eV/atom

a = 14.2355 Å, b = 14.2355 Å, c = 14.2355 Å
α = 14.43°, β = 14.43°, γ = 14.43°
With the nearest neighbours (Å) after each atom.
Sites, in units of the cell vectors:
Ho  0.1241  0.1241  0.1241  3 C 2.44
Ho  0.2728  0.2728  0.2728  3 C 2.49
Ho  0.7272  0.7272  0.7272  3 C 2.49
Ho  0.8759  0.8759  0.8759  3 C 2.44
Hg  0.0000  0.0000  0.0000  6 Ho 3.29, 6 Hg 3.58
C  0.4268  0.4268  0.4268  6 Ho 2.44-2.49
C  0.5732  0.5732  0.5732  6 Ho 2.44-2.49

***

A relaxed Ho4InHgC crystal, computed with GGA-PBE.

crystal system	orthorhombic
final energy	-4.733	eV per atom
DFT formation energy	-0.3646	eV/atom

a = 8.2363 Å, b = 8.2363 Å, c = 6.9245 Å
α = 90.00°, β = 90.00°, γ = 130.31°
With the nearest neighbours (Å) after each atom.
Sites, in units of the cell vectors:
Ho  0.0000  0.5000  0.0000  2 C 2.45
Ho  0.0000  0.5000  0.5000  2 C 2.45
Ho  0.0835  0.9165  0.7500  1 C 2.47
Ho  0.4124  0.5876  0.7500  1 C 2.45
Ho  0.5000  0.0000  0.0000  2 C 2.45
Ho  0.5000  0.0000  0.5000  2 C 2.45
Ho  0.5876  0.4124  0.2500  1 C 2.45
Ho  0.9165  0.0835  0.2500  1 C 2.47
In  0.3820  0.6180  0.2500  5 Ho 3.07-3.14
In  0.6180  0.3820  0.7500  5 Ho 3.07-3.14
Hg  0.1189  0.8811  0.2500  5 Ho 3.03-3.14
Hg  0.8811  0.1189  0.7500  5 Ho 3.03-3.14
C  0.2487  0.7513  0.7500  6 Ho 2.45-2.47
C  0.7513  0.2487  0.2500  6 Ho 2.45-2.47

***

A relaxed La2HoHgC crystal, computed with GGA-PBE.

crystal system	tetragonal
final energy	-5.063	eV per atom
DFT formation energy	-0.2713	eV/atom

a = 5.2565 Å, b = 5.2565 Å, c = 4.8388 Å
α = 90.00°, β = 90.00°, γ = 90.00°
With the nearest neighbours (Å) after each atom.
Sites, in units of the cell vectors:
La  0.0000  0.5000  0.0000  2 C 2.63
La  0.5000  0.0000  0.0000  2 C 2.63
Ho  0.0000  0.0000  0.5000  2 C 2.42
Hg  0.5000  0.5000  0.5000  8 La 3.57, 4 Ho 3.72
C  0.0000  0.0000  0.0000  2 Ho 2.42, 4 La 2.63

***

A relaxed Ho2MnHgC crystal, computed with GGA-PBE.

crystal system	tetragonal
final energy	-5.912	eV per atom
DFT formation energy	-0.3420	eV/atom

a = 5.0088 Å, b = 5.0088 Å, c = 3.7952 Å
α = 90.00°, β = 90.00°, γ = 90.00°
With the nearest neighbours (Å) after each atom.
Sites, in units of the cell vectors:
Ho  0.0000  0.5000  0.0000  2 C 2.50
Ho  0.5000  0.0000  0.0000  2 C 2.50
Mn  0.0000  0.0000  0.5000  2 C 1.90
Hg  0.5000  0.5000  0.5000  8 Ho 3.14
C  0.0000  0.0000  0.0000  2 Mn 1.90